DFT (PBE) results for crystalline PmPr2Er at its relaxed geometry.

Results
Formation energy from the elements, eV/f.u.: 0.5
Excess energy over the best structure of this formula in the dataset, meV per atom: 105
Total magnetic moment, μB/cell: 0.0
Raw total energy, eV/atom: -4.599

Lattice parameters (Å, degrees): 5.796 5.796 5.796 60.00 60.00 60.00
Fractional positions:
Pm  0.000  0.000  0.000
Pr  0.250  0.250  0.250
Pr  0.750  0.750  0.750
Er  0.500  0.500  0.500